No. 1
A plane-wave DFT calculation with PBE-GGA was carried out for crystalline PmYPb2 at its relaxed geometry.

Summary:
Density ... 9.272 g/cm³
ΔH_f (0 K) ... -0.478 eV/atom
Calculated total energy ... -5.136 eV/atom
Symmetry ... P4/mmm, No. 123

Cell: 5.0757 5.0757 4.5066 Å, 90.00 90.00 90.00°
With the nearest neighbours (Å) after each atom.
Positions (direct):
Pm1 0.0000 0.0000 0.0000  8 Pb 3.39, 4 Y 3.59
Y1 0.5000 0.5000 0.0000  8 Pb 3.39, 4 Pm 3.59
Pb1 0.0000 0.5000 0.5000  4 Pm 3.39, 4 Y 3.39, 4 Pb 3.59
Pb2 0.5000 0.0000 0.5000  4 Pm 3.39, 4 Y 3.39, 4 Pb 3.59


No. 2
A plane-wave DFT calculation with PBE-GGA was carried out for crystalline PmYPb at its relaxed geometry.

Summary:
Density ... 8.155 g/cm³
ΔH_f (0 K) ... -0.305 eV/atom
Calculated total energy ... -5.279 eV/atom
Symmetry ... I4mm, No. 107
Energy relative to the lowest polymorph listed for this composition ... 0.1530 eV/atom

Cell: 5.9760 5.9760 5.9760 Å, 139.32 139.32 58.89°
With the nearest neighbours (Å) after each atom.
Positions (direct):
Pm1 0.0000 0.0000 0.0000  5 Y 3.28-3.51, 5 Pb 3.39-3.52
Y1 0.3148 0.3148 0.0000  5 Pm 3.28-3.51, 5 Pb 3.34-3.61
Pb1 0.6621 0.6621 0.0000  5 Y 3.34-3.61, 5 Pm 3.39-3.52


No. 3
A plane-wave DFT calculation with PBE-GGA was carried out for crystalline Pm6Y8Pb at its relaxed geometry.

Summary:
Density ... 5.894 g/cm³
ΔH_f (0 K) ... 0.058 eV/atom
Calculated total energy ... -5.537 eV/atom
Symmetry ... P-3, No. 147

Cell: 9.5043 9.5043 6.4408 Å, 90.00 90.00 120.00°
With the nearest neighbours (Å) after each atom.
Positions (direct):
Pm1 0.0913 0.6385 0.1814  1 Pm 3.29, 5 Y 3.39-3.68
Pm2 0.3615 0.4528 0.1814  1 Pm 3.29, 5 Y 3.39-3.68
Pm3 0.4528 0.0913 0.8186  1 Pm 3.29, 5 Y 3.39-3.68
Pm4 0.5472 0.9087 0.1814  1 Pm 3.29, 5 Y 3.39-3.68
Pm5 0.6385 0.5472 0.8186  1 Pm 3.29, 5 Y 3.39-3.68
Pm6 0.9087 0.3615 0.8186  1 Pm 3.29, 5 Y 3.39-3.68
Y1 0.0367 0.7734 0.6874  1 Pb 3.09, 3 Y 3.37-3.44, 1 Pm 3.39
Y2 0.2266 0.2633 0.6874  1 Pb 3.09, 3 Y 3.37-3.44, 1 Pm 3.39
Y3 0.2633 0.0367 0.3126  1 Pb 3.09, 3 Y 3.37-3.44, 1 Pm 3.39
Y4 0.3333 0.6667 0.6633  3 Y 3.44, 6 Pm 3.74-3.79
Y5 0.6667 0.3333 0.3367  3 Y 3.44, 6 Pm 3.74-3.79
Y6 0.7367 0.9633 0.6874  1 Pb 3.09, 3 Y 3.37-3.44, 1 Pm 3.39
Y7 0.7734 0.7367 0.3126  1 Pb 3.09, 3 Y 3.37-3.44, 1 Pm 3.39
Y8 0.9633 0.2266 0.3126  1 Pb 3.09, 3 Y 3.37-3.44, 1 Pm 3.39
Pb1 0.0000 0.0000 0.0000  6 Y 3.09